[1]
CsBSe2 after structural relaxation. Source: Alexandria, functional PBE.

Cell: 3.580 7.425 9.198 Å, 113.80 101.22 90.00°
Element x y z (fractional)
1 Cs 0.973 0.922 0.520
2 Cs 0.688 0.637 0.950
3 Se 0.991 0.440 0.556
4 Se 0.330 0.072 0.236
5 Se 0.330 0.488 0.235
6 Se 0.670 0.119 0.915
7 B 0.247 0.196 0.069
8 B 0.414 0.363 0.402

Results
As for the space group: No. 71. For the uncorrected formation energy, the calculation gives -1.944 eV/f.u.

[2]
CsBSe3 after structural relaxation. Source: Alexandria, functional PBE.

Cell: 6.206 6.206 6.206 Å, 90.00 90.00 90.00°
Each line ends with the local moment (μB).
Element x y z (fractional)
1 B 0.500 0.500 0.500  -0.16
2 Cs 0.000 0.000 0.000  0.07
3 Se 0.000 0.500 0.000  0.69
4 Se 0.500 0.000 0.000  0.53
5 Se 0.000 0.000 0.500  0.66

Results
As for the space group: No. 221. For the uncorrected formation energy, the calculation gives 9.674 eV/f.u. The value obtained for the density of states at the Fermi level is 11.6 states/eV per cell.

[3]
CsBSe2 after structural relaxation. Source: Alexandria, functional PBE.

Cell: 18.196 7.221 7.221 Å, 90.00 107.37 72.63°
Element x y z (fractional)
1 Se 0.750 0.696 0.196
2 Se 0.250 0.303 0.321
3 Se 0.612 0.541 0.334
4 Se 0.250 0.304 0.804
5 Se 0.250 0.820 0.320
6 Se 0.112 0.166 0.959
7 Se 0.103 0.173 0.450
8 Se 0.750 0.697 0.679
9 Se 0.888 0.834 0.041
10 Se 0.750 0.179 0.197
11 Se 0.750 0.180 0.680
12 Se 0.897 0.827 0.550
13 Se 0.397 0.950 0.673
14 Se 0.603 0.050 0.327
15 Se 0.388 0.459 0.666
16 Se 0.250 0.821 0.803
17 Cs 0.096 0.678 0.947
18 Cs 0.596 0.553 0.822
19 Cs 0.904 0.322 0.053
20 Cs 0.404 0.447 0.178
21 Cs 0.093 0.680 0.444
22 Cs 0.593 0.056 0.820
23 Cs 0.907 0.320 0.556
24 Cs 0.407 0.944 0.180
25 B 0.316 0.252 0.612
26 B 0.816 0.888 0.727
27 B 0.316 0.773 0.612
28 B 0.684 0.227 0.388
29 B 0.684 0.748 0.388
30 B 0.816 0.888 0.248
31 B 0.184 0.112 0.273
32 B 0.184 0.112 0.752

Results
As for the space group: No. 15. For the uncorrected formation energy, the calculation gives -2.298 eV/f.u. The value obtained for the density of states at the Fermi level is 0.0 states/eV per cell.

[4]
Cs2SmBSe4 after structural relaxation. Source: Alexandria, functional PBE.

Cell: 6.168 8.267 13.496 Å, 85.11 76.79 68.10°
Element x y z (fractional)
1 Cs 0.179 0.000 0.643
2 Cs 0.571 0.500 0.857
3 Cs 0.821 0.000 0.357
4 Cs 0.929 0.500 0.143
5 Sm 0.750 0.500 0.500
6 Sm 0.000 0.000 0.000
7 B 0.500 0.000 0.000
8 B 0.250 0.500 0.500
9 Se 0.540 0.171 0.099
10 Se 0.390 0.671 0.401
11 Se 0.288 0.171 0.901
12 Se 0.360 0.829 0.099
13 Se 0.811 0.829 0.901
14 Se 0.462 0.329 0.599
15 Se 0.939 0.671 0.599
16 Se 0.210 0.329 0.401

Results
As for the space group: No. 70. For the uncorrected formation energy, the calculation gives -8.073 eV/f.u. The value obtained for the density of states at the Fermi level is 0.0 states/eV per cell.

[5]
Cs2SmB2Se6 after structural relaxation. Source: Alexandria, functional PBE.

Cell: 7.191 7.190 9.270 Å, 112.74 90.00 120.00°
Element x y z (fractional)
1 Cs 0.288 0.577 0.865
2 Cs 0.712 0.423 0.135
3 Se 0.246 0.021 0.268
4 Se 0.754 0.979 0.732
5 Se 0.754 0.508 0.731
6 Se 0.246 0.492 0.269
7 Se 0.224 0.979 0.732
8 Se 0.776 0.021 0.268
9 Sm 0.500 0.000 0.500
10 B 0.095 0.190 0.286
11 B 0.905 0.810 0.714

Results
As for the space group: No. 12. For the uncorrected formation energy, the calculation gives -8.611 eV/f.u. The value obtained for the density of states at the Fermi level is 5.0 states/eV per cell.

[6]
Cs2SnBSe4 after structural relaxation. Source: Alexandria, functional PBE.

Cell: 6.410 7.992 13.180 Å, 84.40 75.93 66.36°
Each line ends with the local moment (μB).
Element x y z (fractional)
1 Cs 0.179 0.000 0.642  0.00
2 Cs 0.571 0.500 0.858  0.00
3 Cs 0.929 0.500 0.142  0.00
4 Cs 0.821 0.000 0.358  0.00
5 Se 0.397 0.669 0.402  0.06
6 Se 0.353 0.831 0.098  0.06
7 Se 0.281 0.169 0.902  0.06
8 Se 0.469 0.331 0.598  0.06
9 Se 0.201 0.331 0.402  0.06
10 Se 0.549 0.169 0.098  0.06
11 Se 0.817 0.831 0.902  0.06
12 Se 0.933 0.669 0.598  0.06
13 B 0.250 0.500 0.500  0.00
14 B 0.500 0.000 0.000  0.00
15 Sn 0.000 0.000 0.000  0.09
16 Sn 0.750 0.500 0.500  0.09

Results
As for the space group: No. 70. For the uncorrected formation energy, the calculation gives -4.823 eV/f.u. The value obtained for the density of states at the Fermi level is 10.0 states/eV per cell.